Record 1
{"formula": "CuAg2IrRu", "functional": "GGA-PBE", "state": "relaxed", "dos_at_fermi_per_ev_cell": 6.1, "lattice": [[-3.542, 2.474, -2.540], [0.439, -3.256, -3.784], [-3.217, -2.649, 1.906]], "species": ["Ag", "Ag", "Cu", "Ru", "Ir"], "frac_coords": [[0.000, 0.500, 0.000], [0.500, 0.000, 0.000], [0.000, 0.000, 0.500], [0.500, 0.500, 0.500], [0.000, 0.000, 0.000]]}

***

Record 2
{"formula": "SrLa2Zr2", "functional": "GGA-PBE", "state": "relaxed", "dos_at_fermi_per_ev_cell": 5.8, "lattice": [[4.480, 0.000, 0.000], [0.000, 4.480, 0.000], [2.240, 2.240, 8.309]], "species": ["Zr", "Zr", "La", "La", "Sr"], "frac_coords": [[0.750, 0.250, 0.500], [0.250, 0.750, 0.500], [0.395, 0.395, 0.211], [0.605, 0.605, 0.789], [0.000, 0.000, 0.000]]}

***

no.,energy (eV/atom),ρ (g cm⁻³),calculated formation energy (eV/atom)
1,-3.825,8.261,1.76
2,-5.270,5.456,0.46